Record 1
A plane-wave DFT calculation with PBE was carried out for Re3O10 after structural relaxation. Values from VASP.

## Properties
ΔE_f (raw) (meV per atom): -939
Density (Mg/m³): 5.59
Uncorrected energy (eV per atom): -7.63
Space group: C2 (5)

```
&SYSTEM
  ibrav = 0, nat = 13, ntyp = 2
/
ATOMIC_SPECIES
Re 186.21 Re.upf
O 16.00 O.upf
CELL_PARAMETERS angstrom
3.740 -3.749 0.000
3.740 3.749 0.000
-2.763 0.000 7.616
ATOMIC_POSITIONS angstrom
Re 0.000 0.000 0.000
Re 0.487 -0.790 3.533
Re 4.230 -0.790 4.084
O 2.359 2.950 3.808
O 0.488 1.078 3.856
O -0.850 0.081 6.998
O 0.506 -0.656 1.657
O 4.230 1.078 3.760
O 2.359 -0.800 3.808
O 2.473 -2.382 0.410
O 5.567 0.081 0.618
O 4.212 -0.656 5.960
O 2.244 -2.382 7.207
```

=====

Record 2
A plane-wave DFT calculation with PBE was carried out for Ce3P2O3 after structural relaxation. Values from VASP.

## Properties
ΔE_f (raw) (meV per atom): -2458
Density (Mg/m³): 6.27
Uncorrected energy (eV per atom): -7.89
Space group: P6_3/mcm (193)

```
&SYSTEM
  ibrav = 0, nat = 16, ntyp = 3
/
ATOMIC_SPECIES
Ce 140.12 Ce.upf
P 30.97 P.upf
O 16.00 O.upf
CELL_PARAMETERS angstrom
8.171 0.000 0.000
-4.086 7.077 0.000
0.000 0.000 4.856
ATOMIC_POSITIONS angstrom
Ce -1.270 2.199 1.214
Ce -2.816 4.878 3.642
Ce 2.539 0.000 1.214
Ce 1.270 2.199 3.642
Ce 5.632 0.000 3.642
Ce 2.816 4.878 1.214
P 0.000 4.718 0.000
P 0.000 4.718 2.428
P 4.086 2.359 0.000
P 4.086 2.359 2.428
O -0.956 1.656 3.642
O -3.130 5.421 1.214
O 1.912 0.000 3.642
O 0.956 1.656 1.214
O 6.259 0.000 1.214
O 3.130 5.421 3.642
```